Record 1
First-principles (PBE) data for a geometry-optimized HfCuAg3 structure, as listed in the Alexandria database.

symmetry: No. 221
DOS(E_F): 0.839 states/eV per atom
final energy: -18.90 eV per cell
total magnetic moment: 0.0 μB per cell

Structure (POSCAR):
```
HfCuAg3
1.0
4.701 0.000 0.000
0.000 4.701 0.000
0.000 0.000 4.701
Hf Cu Ag
1 1 3
direct
0.000 0.000 0.000
0.500 0.500 0.500
0.000 0.500 0.500
0.500 0.000 0.500
0.500 0.500 0.000
```

***

Record 2
First-principles (PBE) data for a geometry-optimized NaBeTlPb2 structure, as listed in the Alexandria database.

symmetry: No. 123
DOS(E_F): 0.473 states/eV per atom
final energy: -13.52 eV per cell
total magnetic moment: 0.0 μB per cell

Structure (POSCAR):
```
NaBeTlPb2
1.0
5.051 0.000 0.000
0.000 5.051 0.000
0.000 0.000 5.535
Na Be Tl Pb
1 1 1 2
direct
0.000 0.000 0.000
0.000 0.000 0.500
0.500 0.500 0.000
0.000 0.500 0.500
0.500 0.000 0.500
```

***

Record 3
First-principles (PBE) data for a geometry-optimized Cr2CuAs structure, as listed in the Alexandria database.

symmetry: No. 123
DOS(E_F): 0.827 states/eV per atom
final energy: -27.09 eV per cell
total magnetic moment: 3.7 μB per cell

Structure (POSCAR):
```
Cr2CuAs
1.0
3.794 0.000 0.000
0.000 3.794 0.000
0.000 0.000 3.605
Cr Cu As
2 1 1
direct
0.000 0.500 0.000
0.500 0.000 0.000
0.000 0.000 0.500
0.500 0.500 0.500
```

***

Record 4
First-principles (PBE) data for a geometry-optimized Rb3NdBr6 structure, as listed in the Alexandria database.

symmetry: No. 14
DOS(E_F): 0.000 states/eV per atom
E_form (uncorrected): -18.37 eV per formula unit
total magnetic moment: 0.0 μB per cell

Structure (POSCAR):
```
Rb3NdBr6
1.0
8.239 0.000 0.000
0.000 8.777 0.000
-7.907 0.000 11.725
Rb Nd Br
6 2 12
direct
0.000 0.000 0.000
0.000 0.500 0.500
0.212 0.075 0.742
0.212 0.425 0.242
0.788 0.575 0.758
0.788 0.925 0.258
0.500 0.000 0.500
0.500 0.500 0.000
0.161 0.179 0.444
0.161 0.321 0.944
0.256 0.726 0.422
0.256 0.774 0.922
0.405 0.058 0.272
0.405 0.442 0.772
0.595 0.558 0.228
0.595 0.942 0.728
0.744 0.226 0.078
0.744 0.274 0.578
0.839 0.679 0.056
0.839 0.821 0.556
```